# 1
Entry from Alexandria: a geometry-optimized LiTbScGe structure (PBE). Values from VASP.

## Properties
Formation enthalpy at 0 K: -0.42 eV/atom

The structure in Quantum ESPRESSO input format:
```
&SYSTEM
  ibrav = 0, nat = 4, ntyp = 4
/
ATOMIC_SPECIES
Li 6.94 Li.upf
Sc 44.96 Sc.upf
Ge 72.64 Ge.upf
Tb 158.93 Tb.upf
CELL_PARAMETERS angstrom
-4.7902 -0.2955 -0.8662
-2.5896 -3.6943 1.8521
-3.1844 0.8188 3.6018
ATOMIC_POSITIONS crystal
Li 0.7500 0.7500 0.7500
Sc 0.5000 0.5000 0.5000
Ge 0.2500 0.2500 0.2500
Tb 0.0000 0.0000 0.0000
```

***

# 2
Entry from Alexandria: a geometry-optimized Sm2HoTm4Mg structure (PBE). Values from VASP.

## Properties
Formation enthalpy at 0 K: 0.03 eV/atom

The structure in Quantum ESPRESSO input format:
```
&SYSTEM
  ibrav = 0, nat = 8, ntyp = 4
/
ATOMIC_SPECIES
Sm 150.36 Sm.upf
Tm 168.93 Tm.upf
Ho 164.93 Ho.upf
Mg 24.30 Mg.upf
CELL_PARAMETERS angstrom
-0.1251 -2.9411 3.9447
2.3814 -3.4999 -2.5339
11.1466 0.2351 0.5289
ATOMIC_POSITIONS crystal
Sm 0.5000 0.0000 0.5000
Sm 0.0000 0.0000 0.0000
Tm 0.0000 0.7495 0.7505
Tm 0.0000 0.2505 0.2495
Tm 0.5000 0.7499 0.2497
Tm 0.5000 0.2501 0.7503
Ho 0.0000 0.5000 0.5000
Mg 0.5000 0.5000 0.0000
```

***

# 3
Entry from Alexandria: a geometry-optimized La2AgHg structure (PBE). Values from VASP.

## Properties
Formation enthalpy at 0 K: -0.17 eV/atom

The structure in Quantum ESPRESSO input format:
```
&SYSTEM
  ibrav = 0, nat = 4, ntyp = 3
/
ATOMIC_SPECIES
Hg 200.59 Hg.upf
Ag 107.87 Ag.upf
La 138.91 La.upf
CELL_PARAMETERS angstrom
-2.3759 4.6237 0.8003
-4.8243 0.1508 2.0899
-0.6896 1.7895 4.8976
ATOMIC_POSITIONS crystal
Hg 0.7500 0.7500 0.7500
Ag 0.5000 0.5000 0.5000
La 0.2500 0.2500 0.2500
La 0.0000 0.0000 0.0000
```